1 | Here is crystalline NaIn4Pb4 at its relaxed geometry from Alexandria via LeMat-Bulk. Energies are from PBE.

```
data_NaIn4Pb4
_space_group_name_H-M_alt 'I 4/m m m'
_space_group_IT_number 139
_space_group_name_Hall '-I 4 2'
_cell_length_a 10.434
_cell_length_b 10.434
_cell_length_c 4.822
_cell_angle_alpha 90.00
_cell_angle_beta 90.00
_cell_angle_gamma 90.00
loop_
_atom_site_label
_atom_site_type_symbol
_atom_site_fract_x
_atom_site_fract_y
_atom_site_fract_z
Na1 Na 0.000 0.000 0.000
In1 In 0.000 0.339 0.000
Pb1 Pb 0.171 0.171 0.500
```

Values from the calculation:
D(E_F) ... 0.30 states/eV/atom

---

2 | Here is crystalline NaIn4Pb4 at its relaxed geometry from Alexandria via LeMat-Bulk. Energies are from PBE.

```
data_NaIn4Pb4
_space_group_name_H-M_alt 'P 42/n m c'
_space_group_IT_number 137
_cell_length_a 7.051
_cell_length_b 7.051
_cell_length_c 11.358
_cell_angle_alpha 90.00
_cell_angle_beta 90.00
_cell_angle_gamma 90.00
loop_
_space_group_symop_operation_xyz
'x,y,z'
'-x,-y,-z'
'-y+1/2,x,z+1/2'
'y+1/2,-x,-z+1/2'
'-x+1/2,-y+1/2,z'
'x+1/2,y+1/2,-z'
'y,-x+1/2,z+1/2'
'-y,x+1/2,-z+1/2'
'x+1/2,-y,-z'
'-x+1/2,y,z'
'-y,-x,-z+1/2'
'y,x,z+1/2'
'-x,y+1/2,-z'
'x,-y+1/2,z'
'y+1/2,x+1/2,-z+1/2'
'-y+1/2,-x+1/2,z+1/2'
loop_
_atom_site_label
_atom_site_type_symbol
_atom_site_fract_x
_atom_site_fract_y
_atom_site_fract_z
Na1 Na 0.250 0.750 0.250
In1 In 0.039 0.250 0.195
Pb1 Pb 0.009 0.750 0.522
```

Values from the calculation:
D(E_F) ... 0.49 states/eV/atom

---

Verdict on stability: 1 comes out on top.

---

1 | Here is crystalline Na2In3Pb4 at its relaxed geometry from Alexandria via LeMat-Bulk. Energies are from PBE.

```
data_Na2In3Pb4
_space_group_name_H-M_alt 'C 1 2/m 1'
_space_group_IT_number 12
_cell_length_a 10.777
_cell_length_b 4.872
_cell_length_c 10.376
_cell_angle_alpha 90.00
_cell_angle_beta 108.09
_cell_angle_gamma 90.00
loop_
_space_group_symop_operation_xyz
'x,y,z'
'-x,-y,-z'
'-x,y,-z'
'x,-y,z'
'x+1/2,y+1/2,z'
'-x+1/2,-y+1/2,-z'
'-x+1/2,y+1/2,-z'
'x+1/2,-y+1/2,z'
loop_
_atom_site_label
_atom_site_type_symbol
_atom_site_fract_x
_atom_site_fract_y
_atom_site_fract_z
Na1 Na 0.167 0.000 0.223
In1 In 0.000 0.500 0.000
In2 In 0.164 0.000 0.558
Pb1 Pb 0.006 0.500 0.336
Pb2 Pb 0.166 0.000 0.887
```

Values from the calculation:
D(E_F) ... 0.42 states/eV/atom

---

2 | Here is crystalline Na2In3Pb4 at its relaxed geometry from Alexandria via LeMat-Bulk. Energies are from PBE.

```
data_Na2In3Pb4
_space_group_name_H-M_alt 'P 3 m 1'
_space_group_IT_number 156
_cell_length_a 3.5012
_cell_length_b 3.5012
_cell_length_c 25.3539
_cell_angle_alpha 90.00
_cell_angle_beta 90.00
_cell_angle_gamma 120.00
loop_
_space_group_symop_operation_xyz
'x,y,z'
'-y,x-y,z'
'-x+y,-x,z'
'-y,-x,z'
'-x+y,y,z'
'x,x-y,z'
loop_
_atom_site_label
_atom_site_type_symbol
_atom_site_fract_x
_atom_site_fract_y
_atom_site_fract_z
Na1 Na 0.0000 0.0000 0.0000
Na2 Na 0.0000 0.0000 0.2115
In1 In 0.0000 0.0000 0.7833
In2 In 0.3333 0.6667 0.1060
In3 In 0.3333 0.6667 0.4456
Pb1 Pb 0.0000 0.0000 0.3383
Pb2 Pb 0.0000 0.0000 0.5571
Pb3 Pb 0.3333 0.6667 0.6716
Pb4 Pb 0.3333 0.6667 0.8907
```

Values from the calculation:
D(E_F) ... 0.36 states/eV/atom

---

Verdict on stability: 1 comes out on top.

---

1 | Here is crystalline Na2In4Pb3 at its relaxed geometry from Alexandria via LeMat-Bulk. Energies are from PBE.

```
data_Na2In4Pb3
_space_group_name_H-M_alt 'C 1 2/m 1'
_space_group_IT_number 12
_cell_length_a 10.863
_cell_length_b 4.825
_cell_length_c 10.163
_cell_angle_alpha 90.00
_cell_angle_beta 107.47
_cell_angle_gamma 90.00
loop_
_space_group_symop_operation_xyz
'x,y,z'
'-x,-y,-z'
'-x,y,-z'
'x,-y,z'
'x+1/2,y+1/2,z'
'-x+1/2,-y+1/2,-z'
'-x+1/2,y+1/2,-z'
'x+1/2,-y+1/2,z'
loop_
_atom_site_label
_atom_site_type_symbol
_atom_site_fract_x
_atom_site_fract_y
_atom_site_fract_z
Na1 Na 0.161 0.000 0.221
In1 In 0.003 0.500 0.667
In2 In 0.170 0.000 0.894
Pb1 Pb 0.000 0.500 0.000
Pb2 Pb 0.166 0.000 0.563
```

Values from the calculation:
D(E_F) ... 0.42 states/eV/atom

---

2 | Here is crystalline Na2In4Pb3 at its relaxed geometry from Alexandria via LeMat-Bulk. Energies are from PBE.

```
data_Na2In4Pb3
_space_group_name_H-M_alt 'C 1 2/m 1'
_space_group_IT_number 12
_cell_length_a 15.534
_cell_length_b 4.554
_cell_length_c 7.688
_cell_angle_alpha 90.00
_cell_angle_beta 110.03
_cell_angle_gamma 90.00
loop_
_space_group_symop_operation_xyz
'x,y,z'
'-x,-y,-z'
'-x,y,-z'
'x,-y,z'
'x+1/2,y+1/2,z'
'-x+1/2,-y+1/2,-z'
'-x+1/2,y+1/2,-z'
'x+1/2,-y+1/2,z'
loop_
_atom_site_label
_atom_site_type_symbol
_atom_site_fract_x
_atom_site_fract_y
_atom_site_fract_z
Na1 Na 0.163 0.000 0.002
In1 In 0.058 0.000 0.336
In2 In 0.223 0.500 0.341
Pb1 Pb 0.000 0.500 0.000
Pb2 Pb 0.114 0.500 0.655
```

Values from the calculation:
D(E_F) ... 0.46 states/eV/atom

---

Verdict on stability: 1 comes out on top.

---

1 | Here is crystalline NaIn4Pb2 at its relaxed geometry from Alexandria via LeMat-Bulk. Energies are from PBE.

```
data_NaIn4Pb2
_space_group_name_H-M_alt 'C 1 2/m 1'
_space_group_IT_number 12
_cell_length_a 5.970
_cell_length_b 12.511
_cell_length_c 5.910
_cell_angle_alpha 90.00
_cell_angle_beta 108.59
_cell_angle_gamma 90.00
loop_
_space_group_symop_operation_xyz
'x,y,z'
'-x,-y,-z'
'-x,y,-z'
'x,-y,z'
'x+1/2,y+1/2,z'
'-x+1/2,-y+1/2,-z'
'-x+1/2,y+1/2,-z'
'x+1/2,-y+1/2,z'
loop_
_atom_site_label
_atom_site_type_symbol
_atom_site_fract_x
_atom_site_fract_y
_atom_site_fract_z
Na1 Na 0.000 0.000 0.000
In1 In 0.000 0.297 0.000
In2 In 0.118 0.500 0.316
Pb1 Pb 0.000 0.190 0.500
```

Values from the calculation:
D(E_F) ... 0.50 states/eV/atom

---

2 | Here is crystalline NaIn4Pb2 at its relaxed geometry from Alexandria via LeMat-Bulk. Energies are from PBE.

```
data_NaIn4Pb2
_space_group_name_H-M_alt 'C m m m'
_space_group_IT_number 65
_space_group_name_Hall '-C 2 2'
_cell_length_a 4.702
_cell_length_b 25.223
_cell_length_c 3.376
_cell_angle_alpha 90.00
_cell_angle_beta 90.00
_cell_angle_gamma 90.00
loop_
_atom_site_label
_atom_site_type_symbol
_atom_site_fract_x
_atom_site_fract_y
_atom_site_fract_z
Na1 Na 0.000 0.000 0.000
In1 In 0.000 0.134 0.000
In2 In 0.000 0.431 0.500
Pb1 Pb 0.000 0.297 0.500
```

Values from the calculation:
D(E_F) ... 0.38 states/eV/atom

---

Verdict on stability: 2 comes out on top.

---

1 | Here is crystalline Na2In3Pb2 at its relaxed geometry from Alexandria via LeMat-Bulk. Energies are from PBE.

```
data_Na2In3Pb2
_space_group_name_H-M_alt 'C 1 2/m 1'
_space_group_IT_number 12
_cell_length_a 10.628
_cell_length_b 4.765
_cell_length_c 7.820
_cell_angle_alpha 90.00
_cell_angle_beta 98.91
_cell_angle_gamma 90.00
loop_
_space_group_symop_operation_xyz
'x,y,z'
'-x,-y,-z'
'-x,y,-z'
'x,-y,z'
'x+1/2,y+1/2,z'
'-x+1/2,-y+1/2,-z'
'-x+1/2,y+1/2,-z'
'x+1/2,-y+1/2,z'
loop_
_atom_site_label
_atom_site_type_symbol
_atom_site_fract_x
_atom_site_fract_y
_atom_site_fract_z
Na1 Na 0.069 0.000 0.223
In1 In 0.000 0.500 0.500
In2 In 0.215 0.000 0.634
Pb1 Pb 0.147 0.500 0.929
```

Values from the calculation:
D(E_F) ... 0.39 states/eV/atom

---

2 | Here is crystalline Na2In3Pb2 at its relaxed geometry from Alexandria via LeMat-Bulk. Energies are from PBE.

```
data_Na2In3Pb2
_space_group_name_H-M_alt 'P 1 2/m 1'
_space_group_IT_number 10
_cell_length_a 5.370
_cell_length_b 3.276
_cell_length_c 11.781
_cell_angle_alpha 90.00
_cell_angle_beta 103.17
_cell_angle_gamma 90.00
loop_
_space_group_symop_operation_xyz
'x,y,z'
'-x,-y,-z'
'-x,y,-z'
'x,-y,z'
loop_
_atom_site_label
_atom_site_type_symbol
_atom_site_fract_x
_atom_site_fract_y
_atom_site_fract_z
Na1 Na 0.074 0.000 0.150
In1 In 0.213 0.500 0.426
In2 In 0.500 0.500 0.000
Pb1 Pb 0.363 0.500 0.722
```

Values from the calculation:
D(E_F) ... 0.45 states/eV/atom

---

Verdict on stability: 1 comes out on top.

---

1 | Here is crystalline NaIn4Pb at its relaxed geometry from Alexandria via LeMat-Bulk. Energies are from PBE.

```
data_NaIn4Pb
_space_group_name_H-M_alt 'C m c m'
_space_group_IT_number 63
_space_group_name_Hall '-C 2c 2'
_cell_length_a 5.459
_cell_length_b 16.240
_cell_length_c 8.532
_cell_angle_alpha 90.00
_cell_angle_beta 90.00
_cell_angle_gamma 90.00
loop_
_atom_site_label
_atom_site_type_symbol
_atom_site_fract_x
_atom_site_fract_y
_atom_site_fract_z
Na1 Na 0.000 0.136 0.250
In1 In 0.000 0.054 0.750
In2 In 0.000 0.254 0.579
In3 In 0.000 0.500 0.000
Pb1 Pb 0.000 0.349 0.250
```

Values from the calculation:
D(E_F) ... 0.47 states/eV/atom

---

2 | Here is crystalline NaIn4Pb at its relaxed geometry from Alexandria via LeMat-Bulk. Energies are from PBE.

```
data_NaIn4Pb
_space_group_name_H-M_alt 'F -4 3 m'
_space_group_IT_number 216
_space_group_name_Hall 'F -4 2 3'
_cell_length_a 8.854
_cell_length_b 8.854
_cell_length_c 8.854
_cell_angle_alpha 90.00
_cell_angle_beta 90.00
_cell_angle_gamma 90.00
loop_
_atom_site_label
_atom_site_type_symbol
_atom_site_fract_x
_atom_site_fract_y
_atom_site_fract_z
Na1 Na 0.000 0.000 0.000
In1 In 0.125 0.125 0.625
Pb1 Pb 0.250 0.250 0.250
```

Values from the calculation:
D(E_F) ... 0.48 states/eV/atom

---

Verdict on stability: 2 comes out on top.